DFT (GGA-PBE) results for a geometry-optimized SiHPd4 structure.

calculated volume: 13.4 A^3/atom
N(E_F): 8.866 states/eV/cell
excess energy over the best structure of this formula in the dataset: 0.000 eV/atom
total magnetic moment: 0.0 μB per formula unit

a = 7.5179 Å, b = 11.3671 Å, c = 5.3187 Å
α = 90.00°, β = 134.97°, γ = 90.00°
Space group C2/c (No. 15)
Symmetry-distinct sites (fractional):
Si 0.0000 0.1250 0.2500 [4 per cell]
H 0.0000 0.3753 0.7500 [4 per cell]
Pd 0.1600 0.2929 0.6531 [8 per cell]
Pd 0.2428 0.0430 0.8327 [8 per cell]